1.
The following is a GGA-PBE calculation of an optimized crystal structure of SrNdB, from the Open Quantum Materials Database.

The structure in POSCAR format:
```
SrNdB
1.0
-2.539 -2.486 3.244
-3.478 2.176 2.515
-4.614 -1.063 -0.857
B Nd Sr
1 1 1
direct
0.000 0.000 0.000
0.750 0.750 0.750
0.250 0.250 0.250
```

=====

2.
The following is a GGA-PBE calculation of an optimized crystal structure of SrNdB4, from the Open Quantum Materials Database.

The structure in POSCAR format:
```
SrNdB4
1.0
-4.347 -2.248 2.866
-1.321 5.295 1.544
0.074 -3.924 -4.094
B Nd Sr
4 1 1
direct
0.521 0.252 0.269
0.017 0.748 0.269
0.983 0.252 0.731
0.479 0.748 0.731
0.000 0.000 0.000
0.500 0.500 0.000
```

=====

3.
The following is a GGA-PBE calculation of an optimized crystal structure of TbNdB4, from the Open Quantum Materials Database.

The structure in POSCAR format:
```
TbNdB4
1.0
3.317 0.000 0.000
-1.658 2.872 0.000
0.000 0.000 8.033
B Nd Tb
4 1 1
direct
0.667 0.333 0.260
0.333 0.667 0.260
0.667 0.333 0.740
0.333 0.667 0.740
0.000 0.000 0.000
0.000 0.000 0.500
```

=====

4.
The following is a GGA-PBE calculation of an optimized crystal structure of TbNdB, from the Open Quantum Materials Database.

The structure in POSCAR format:
```
TbNdB
1.0
-4.214 -0.809 1.697
-3.502 -0.919 -2.861
-1.781 -4.253 -0.176
B Nd Tb
1 1 1
direct
0.000 0.000 0.000
0.250 0.250 0.250
0.750 0.750 0.750
```

=====

5.
The following is a GGA-PBE calculation of an optimized crystal structure of TbNdB4, from the Open Quantum Materials Database.

The structure in POSCAR format:
```
TbNdB4
1.0
-2.122 -4.173 2.290
-1.165 1.945 4.693
-1.186 0.368 -5.062
B Nd Tb
4 1 1
direct
0.585 0.252 0.334
0.082 0.748 0.334
0.918 0.252 0.666
0.415 0.748 0.666
0.500 0.500 0.000
0.000 0.000 0.000
```

=====

6.
The following is a GGA-PBE calculation of an optimized crystal structure of NdTc2B2, from the Open Quantum Materials Database.

The structure in POSCAR format:
```
NdTc2B2
1.0
-1.957 1.957 5.186
1.957 -1.957 5.186
1.957 1.957 -5.186
B Nd Tc
2 1 2
direct
0.339 0.339 0.000
0.661 0.661 0.000
0.000 0.000 0.000
0.750 0.250 0.500
0.250 0.750 0.500
```

=====

Number 1: calculated total energy -3.939 eV/atom. Number 2: calculated total energy -5.742 eV/atom. Number 3: calculated total energy -6.428 eV/atom. Number 4: calculated total energy -5.203 eV/atom. Number 5: calculated total energy -6.412 eV/atom. Number 6: calculated total energy -8.003 eV/atom.